Here is a relaxed ZnP2C crystal from Alexandria via LeMat-Bulk. Energies are from PBE.

Properties
density of states at the Fermi level: 0.0 states/eV per cell
distance to the lowest polymorph of the same formula: 0.0 meV/atom
ΔH_f (0 K): 0.274 eV per atom
calculated total energy: -5.055 eV/atom

Unit cell a=5.0479 b=5.0479 c=9.0203 alpha=90.00 beta=90.00 gamma=90.00
With the nearest neighbours (Å) after each atom.
Space group I-42d (No. 122)
Inequivalent atoms, fractional coordinates:
Zn: 0.0000 0.0000 0.0000 x4  4 P 2.33
P: 0.1819 0.2500 0.6250 x8  2 C 1.93
C: 0.0000 0.0000 0.5000 x4  4 P 1.93